No. 1
NaLiGe3 | meta-GGA SCAN | PBEsol geometry

It has space group Pm-3m (No. 221), with a = 4.647 Å, b = 4.647 Å, c = 4.647 Å, α = 90.00°, β = 90.00° and γ = 90.00°. The inequivalent atoms are Na at (0.000, 0.000, 0.000), Li at (0.500, 0.500, 0.500) and Ge at (0.000, 0.500, 0.500).

The calculated formation energy is 26.6 kJ per mole of atoms. As for the density of states at the Fermi level: 1.67 states/eV per cell.

=====

No. 2
NaLi2Ge2 | meta-GGA SCAN | PBEsol geometry

It has space group I4/mmm (No. 139), with a = 4.401 Å, b = 4.401 Å, c = 10.624 Å, α = 90.00°, β = 90.00° and γ = 90.00°. The inequivalent atoms are Na at (0.000, 0.000, 0.000), Li at (0.000, 0.500, 0.250) and Ge at (0.000, 0.000, 0.392).

The calculated formation energy is -11.8 kJ per mole of atoms. As for the density of states at the Fermi level: 3.70 states/eV per cell.

=====

No. 3
NaLiGePb2 | meta-GGA SCAN | PBEsol geometry

It has space group P4/mmm (No. 123), with a = 5.596 Å, b = 5.596 Å, c = 4.814 Å, α = 90.00°, β = 90.00° and γ = 90.00°. The inequivalent atoms are Na at (0.000, 0.000, 0.000), Li at (0.500, 0.500, 0.000), Ge at (0.500, 0.500, 0.500) and Pb at (0.000, 0.500, 0.500).

The calculated formation energy is 6.6 kJ per mole of atoms. As for the density of states at the Fermi level: 2.52 states/eV per cell.

=====

No. 4
LiNbGeO5 | meta-GGA SCAN | PBEsol geometry

It has space group Pnma (No. 62), with a = 7.785 Å, b = 6.742 Å, c = 7.533 Å, α = 90.00°, β = 90.00° and γ = 90.00°. The inequivalent atoms are Li at (0.000, 0.000, 0.000), Nb at (0.161, 0.250, 0.273), Ge at (0.131, 0.750, 0.366), O at (0.057, 0.250, 0.503), O at (0.112, 0.750, 0.836), O at (0.125, 0.541, 0.230) and O at (0.183, 0.250, 0.998).

The formation energy without anion corrections comes out at -2352 meV per atom. As for the density of states at the Fermi level: 0.00 states/eV per cell.